# PBE YSb2Ru, relaxed
# Uncorrected formation energy = -0.25 eV per formula unit
data_YSb2Ru
_cell_length_a 4.480
_cell_length_b 4.480
_cell_length_c 19.552
_cell_angle_alpha 90.00
_cell_angle_beta 90.00
_cell_angle_gamma 90.00
_symmetry_space_group_name_H-M 'I -4 2 d'
_symmetry_Int_Tables_number 122
_symmetry_space_group_name_Hall 'I -4 2bw'
loop_
_atom_site_label
_atom_site_fract_x
_atom_site_fract_y
_atom_site_fract_z
_atom_site_occupancy
Y1 0.000 0.000 0.000 1
Sb1 0.204 0.250 0.625 1
Ru1 0.000 0.000 0.500 1

# PBE Ni2PS, relaxed
# Uncorrected formation energy = -0.94 eV per formula unit
data_Ni2PS
_cell_length_a 5.076
_cell_length_b 5.076
_cell_length_c 9.926
_cell_angle_alpha 90.00
_cell_angle_beta 90.00
_cell_angle_gamma 90.00
_symmetry_space_group_name_H-M 'I -4 2 d'
_symmetry_Int_Tables_number 122
_symmetry_space_group_name_Hall 'I -4 2bw'
loop_
_atom_site_label
_atom_site_fract_x
_atom_site_fract_y
_atom_site_fract_z
_atom_site_occupancy
Ni1 0.249 0.250 0.125 1
P1 0.000 0.000 0.500 1
S1 0.000 0.000 0.000 1

# PBE TlSi2Pd, relaxed
# Offset from the most stable computed form = 6.54 kcal/mol of atoms
# Uncorrected formation energy = 1.70 eV per formula unit
data_TlSi2Pd
_cell_length_a 6.670
_cell_length_b 6.670
_cell_length_c 6.670
_cell_angle_alpha 90.00
_cell_angle_beta 90.00
_cell_angle_gamma 90.00
_symmetry_space_group_name_H-M 'F m -3 m'
_symmetry_Int_Tables_number 225
_symmetry_space_group_name_Hall '-F 4 2 3'
loop_
_atom_site_label
_atom_site_fract_x
_atom_site_fract_y
_atom_site_fract_z
_atom_site_occupancy
Tl1 0.000 0.000 0.000 1
Si1 0.250 0.250 0.250 1
Pd1 0.000 0.000 0.500 1

# PBE Dy2HoCd2, relaxed
# Formation energy from the elements = -1.29 eV/f.u.
data_Dy2HoCd2
_cell_length_a 3.715
_cell_length_b 5.325
_cell_length_c 13.837
_cell_angle_alpha 90.00
_cell_angle_beta 97.69
_cell_angle_gamma 90.00
_symmetry_space_group_name_H-M 'P 1 21/m 1'
_symmetry_Int_Tables_number 11
loop_
_symmetry_equiv_pos_as_xyz
'x,y,z'
'-x,-y,-z'
'-x,y+1/2,-z'
'x,-y+1/2,z'
loop_
_atom_site_label
_atom_site_fract_x
_atom_site_fract_y
_atom_site_fract_z
_atom_site_occupancy
Dy1 0.045 0.250 0.091 1
Dy2 0.237 0.250 0.472 1
Ho1 0.148 0.750 0.298 1
Cd1 0.359 0.750 0.719 1
Cd2 0.448 0.250 0.896 1